No. 1
First-principles (PBE) data for a relaxed structure of Nd2Ag2SnPd5, as listed in Alexandria.

Values from the calculation:
The uncorrected energy is -5.055 eV per atom. The space group is P4/mbm. The calculation puts the density at 9.6 g/cm³. The formation energy comes out at -0.5342 eV per atom. The magnetization comes out at 0.000 μB/cell.

a = 3.962 Å, b = 10.027 Å, c = 10.027 Å
α = 90.00°, β = 90.00°, γ = 90.00°
Fractional positions:
Ag 0.000 0.127 0.627
Nd 0.000 0.671 0.171
Pd 0.500 0.801 0.946
Ag 0.000 0.627 0.873
Pd 0.500 0.500 0.000
Pd 0.500 0.054 0.801
Ag 0.000 0.873 0.373
Nd 0.000 0.171 0.329
Pd 0.500 0.946 0.199
Nd 0.000 0.829 0.671
Pd 0.500 0.301 0.554
Nd 0.000 0.329 0.829
Sn 0.000 0.000 0.000
Pd 0.500 0.699 0.446
Pd 0.500 0.000 0.500
Pd 0.500 0.199 0.054
Pd 0.500 0.446 0.301
Sn 0.000 0.500 0.500
Ag 0.000 0.373 0.127
Pd 0.500 0.554 0.699

No. 2
First-principles (PBE) data for a relaxed structure of Nd2AgSn4Pd3, as listed in Alexandria.

Values from the calculation:
The uncorrected energy is -5.072 eV per atom. The space group is P-4m2. The calculation puts the density at 8.6 g/cm³. The formation energy comes out at -0.6742 eV per atom. The magnetization comes out at 0.000 μB/cell.

a = 4.566 Å, b = 4.566 Å, c = 11.030 Å
α = 90.00°, β = 90.00°, γ = 90.00°
Fractional positions:
Pd 0.500 0.000 0.872
Nd 0.000 0.500 0.744
Sn 0.000 0.000 0.000
Ag 0.500 0.500 0.500
Sn 0.500 0.000 0.636
Sn 0.500 0.500 0.000
Pd 0.000 0.500 0.128
Nd 0.500 0.000 0.256
Sn 0.000 0.500 0.364
Pd 0.000 0.000 0.500

No. 3
First-principles (PBE) data for a relaxed structure of NdAgSnPd, as listed in Alexandria.

Values from the calculation:
The uncorrected energy is -4.797 eV per atom. The space group is F-43m. The calculation puts the density at 9.1 g/cm³. The formation energy comes out at -0.5933 eV per atom. The magnetization comes out at 0.000 μB/cell.

a = 4.971 Å, b = 4.971 Å, c = 4.971 Å
α = 60.00°, β = 60.00°, γ = 60.00°
Fractional positions:
Ag 0.500 0.500 0.500
Pd 0.000 0.000 0.000
Sn 0.250 0.250 0.250
Nd 0.750 0.750 0.750